No. 1
Compound: Sr3Pa3OsN8
Source: the Alexandria database
Functional: GGA-PBE
Structure: relaxed

Lattice parameters (Å, degrees): 6.9535 6.9534 7.1847 118.94 90.00 120.00
Last column: nearest neighbours and their distance in Å.
Positions (direct):
Sr 0.0000 0.0000 0.0000  6 N 2.65-2.74
Sr 0.0000 0.5000 0.0000  6 N 2.66-2.74
Sr 0.5000 0.5000 0.0000  6 N 2.66-2.74
Pa 0.5000 0.0000 0.5000  6 N 2.30-2.36
Pa 0.5000 0.5000 0.5000  6 N 2.30-2.36
Pa 0.0000 0.5000 0.5000  6 N 2.30-2.36
Os 0.0000 0.0000 0.5000  6 N 2.26
N 0.2638 0.5276 0.2916  3 Pa 2.36
N 0.7362 0.4724 0.7084  3 Pa 2.36
N 0.7747 0.5494 0.3159  1 Os 2.26, 2 Pa 2.30
N 0.2253 0.4506 0.6841  1 Os 2.26, 2 Pa 2.30
N 0.7746 0.0411 0.3158  1 Os 2.26, 2 Pa 2.30
N 0.2254 0.9589 0.6842  1 Os 2.26, 2 Pa 2.30
N 0.2665 0.0411 0.3159  1 Os 2.26, 2 Pa 2.30
N 0.7335 0.9589 0.6841  1 Os 2.26, 2 Pa 2.30

Summary:
The uncorrected formation energy comes out at -97.42 kJ per mole of atoms. The calculation puts the density of states at the Fermi level at 6.16 states/eV per cell. Its space group is R-3m, No. 166. For the spin magnetization, the calculation gives 1.04 μB per formula unit.


No. 2
Compound: BaNaNpS3
Source: the Alexandria database
Functional: GGA-PBE
Structure: relaxed

Lattice parameters (Å, degrees): 4.2449 8.5011 9.2568 106.48 90.00 90.00
Last column: nearest neighbours and their distance in Å.
Positions (direct):
Ba 0.2500 0.2173 0.2414  7 S 3.22-3.44
Ba 0.7500 0.7827 0.7586  7 S 3.22-3.44
Na 0.2500 0.0915 0.5851  4 S 2.62-2.78, 2 Na 2.83
Na 0.7500 0.9085 0.4149  4 S 2.62-2.78, 2 Na 2.83
Np 0.2500 0.6741 0.1532  6 S 2.73-2.84
Np 0.7500 0.3259 0.8468  6 S 2.73-2.84
S 0.7500 0.8867 0.1266  1 Na 2.62, 2 Np 2.84
S 0.2500 0.1133 0.8734  1 Na 2.62, 2 Np 2.84
S 0.2500 0.7512 0.4723  3 Na 2.64-2.78, 1 Np 2.84
S 0.7500 0.2488 0.5277  3 Na 2.64-2.78, 1 Np 2.84
S 0.7500 0.4595 0.1520  3 Np 2.73-2.80
S 0.2500 0.5405 0.8480  3 Np 2.73-2.80

Summary:
The uncorrected formation energy comes out at -138.72 kJ per mole of atoms. The calculation puts the density of states at the Fermi level at 20.96 states/eV per cell. Its space group is P2_1/m, No. 11. For the spin magnetization, the calculation gives 4.00 μB per formula unit.


No. 3
Compound: MgZn3
Source: the Alexandria database
Functional: GGA-PBE
Structure: relaxed

Lattice parameters (Å, degrees): 4.8197 4.8197 6.6753 76.01 76.01 109.29
Last column: nearest neighbours and their distance in Å.
Positions (direct):
Mg 0.3712 0.3712 0.2576  11 Zn 2.79-3.02, 1 Mg 3.12
Mg 0.6288 0.6288 0.7424  11 Zn 2.79-3.02, 1 Mg 3.12
Zn 0.5000 0.0000 0.0000  8 Zn 2.79-3.03, 4 Mg 2.87
Zn 0.0000 0.5000 0.0000  8 Zn 2.79-3.03, 4 Mg 2.87
Zn 0.7500 0.2500 0.5000  8 Zn 2.79-3.03, 4 Mg 2.82
Zn 0.2500 0.7500 0.5000  8 Zn 2.79-3.03, 4 Mg 2.82
Zn 0.1224 0.1224 0.7551  3 Mg 2.79-3.02, 9 Zn 2.83-2.97
Zn 0.8776 0.8776 0.2449  3 Mg 2.79-3.02, 9 Zn 2.83-2.97

Summary:
The calculation puts the density of states at the Fermi level at 2.58 states/eV per cell. Its space group is Fmmm, No. 69. For the spin magnetization, the calculation gives 0.00 μB per formula unit. For the formation energy, the calculation gives -12 meV per atom.


No. 4
Compound: H2PdPtW
Source: the Alexandria database
Functional: GGA-PBE
Structure: relaxed

Lattice parameters (Å, degrees): 3.5679 5.3506 3.5679 90.00 90.00 90.00
Last column: nearest neighbours and their distance in Å.
Positions (direct):
H 0.0000 0.0000 0.5000  2 Pd 1.78
H 0.5000 0.0000 0.0000  2 Pd 1.78
Pd 0.0000 0.0000 0.0000  4 H 1.78
W 0.0000 0.5000 0.0000  4 Pt 2.52, 2 Pd 2.68
Pt 0.5000 0.5000 0.5000  4 W 2.52

Summary:
For the calculated total energy, the calculation gives -0.4022 Ry/atom. The calculation puts the density of states at the Fermi level at 3.68 states/eV per cell. Its space group is P4/mmm, No. 123. For the spin magnetization, the calculation gives 0.00 μB per formula unit.


No. 5
Compound: Re2RhC
Source: the Alexandria database
Functional: GGA-PBE
Structure: relaxed

Lattice parameters (Å, degrees): 4.6710 4.6710 6.7277 69.69 69.69 90.00
Last column: nearest neighbours and their distance in Å.
Positions (direct):
Re 0.5262 0.1250 0.2500  2 C 2.00
Re 0.2238 0.6250 0.2500  2 C 2.00
Re 0.3750 0.4738 0.7500  2 C 2.00
Re 0.8750 0.7762 0.7500  2 C 2.00
C 0.5000 0.5000 0.0000  4 Re 2.00
C 0.2500 0.7500 0.5000  4 Re 2.00
Rh 0.0000 0.0000 0.0000  4 Re 2.48
Rh 0.7500 0.2500 0.5000  4 Re 2.48

Summary:
The calculation puts the density of states at the Fermi level at 8.13 states/eV per cell. Its space group is I-42d, No. 122. For the spin magnetization, the calculation gives 0.00 μB per formula unit. For the formation energy, the calculation gives 920 meV per atom.


No. 6
Compound: LaTiV2
Source: the Alexandria database
Functional: GGA-PBE
Structure: relaxed

Lattice parameters (Å, degrees): 4.7358 4.7358 4.7358 60.00 60.00 60.00
Last column: nearest neighbours and their distance in Å.
Positions (direct):
Ti 0.0000 0.0000 0.0000  8 V 2.90
La 0.5000 0.5000 0.5000  8 V 2.90
V 0.2500 0.2500 0.2500  4 La 2.90, 4 Ti 2.90
V 0.7500 0.7500 0.7500  4 La 2.90, 4 Ti 2.90

Summary:
The energy above the lowest structure with this stoichiometry comes out at 0.000 eV/atom. The calculation puts the density of states at the Fermi level at 5.26 states/eV per cell. Its space group is Fm-3m, No. 225. For the spin magnetization, the calculation gives 2.88 μB per formula unit. For the formation energy, the calculation gives 504 meV per atom.